(1)
A geometry-optimized SrTeCl2 structure, computed with PBEsol.

Cell: 4.794 4.794 4.410 Å, 90.00 90.00 90.00°
Fractional coordinates of all 4 atoms:
Sr1 0.000 0.000 0.000
Te1 0.500 0.500 0.000
Cl1 0.000 0.500 0.500
Cl2 0.500 0.000 0.500

Output
* ΔE_f (raw): -1.192 eV per atom
* magnetization: 0.0 Bohr magnetons per cell
* E: -3.538 eV/atom

(2)
A geometry-optimized SrTeCl2 structure, computed with PBEsol.

Cell: 5.583 4.283 5.649 Å, 90.00 102.96 90.00°
Fractional coordinates of all 4 atoms:
Sr1 0.000 0.000 0.000
Te1 0.500 0.000 0.500
Cl1 0.211 0.500 0.788
Cl2 0.789 0.500 0.212

Output
* ΔE_f (raw): -1.162 eV per atom
* magnetization: 2.0 Bohr magnetons per cell
* E: -3.507 eV/atom

(3)
A geometry-optimized SrTeCl2 structure, computed with PBEsol.

Cell: 4.231 4.231 11.529 Å, 90.00 90.00 90.00°
Fractional coordinates of all 8 atoms:
Sr1 0.000 0.000 0.000
Sr2 0.500 0.500 0.500
Te1 0.000 0.500 0.250
Te2 0.500 0.000 0.750
Cl1 0.000 0.000 0.500
Cl2 0.000 0.500 0.750
Cl3 0.500 0.000 0.250
Cl4 0.500 0.500 0.000

Output
* ΔE_f (raw): -1.296 eV per atom
* magnetization: 0.0 Bohr magnetons per cell
* E: -3.642 eV/atom